No. 1
An optimized crystal structure of YTe2PbAuS, computed with PBE.

Cell: 7.6785 7.6785 10.3713 Å, 90.00 90.00 147.55°
Positions (direct):
Y 0.0000 0.0000 0.0000
Y 0.0000 0.0000 0.5000
Te 0.3497 0.6503 0.5561
Te 0.3497 0.6503 0.9439
Te 0.6503 0.3497 0.0561
Te 0.6503 0.3497 0.4439
Pb 0.2675 0.7325 0.2500
Pb 0.7325 0.2675 0.7500
Au 0.4800 0.5200 0.7500
Au 0.5200 0.4800 0.2500
S 0.0772 0.9228 0.7500
S 0.9228 0.0772 0.2500

As for the total energy: -4.760 eV per atom. As for the total moment: 0.01 μB/f.u. The space group is Cmcm. Its calculated volume is 27.35 Å³ per atom.


No. 2
An optimized crystal structure of ScSiNiMo, computed with PBE.

Cell: 6.1315 6.1315 6.1315 Å, 90.00 90.00 90.00°
Positions (direct):
Sc 0.0000 0.0000 0.0000
Sc 0.0000 0.5000 0.5000
Sc 0.5000 0.0000 0.5000
Sc 0.5000 0.5000 0.0000
Si 0.0000 0.0000 0.5000
Si 0.0000 0.5000 0.0000
Si 0.5000 0.0000 0.0000
Si 0.5000 0.5000 0.5000
Ni 0.2500 0.2500 0.7500
Ni 0.2500 0.7500 0.2500
Ni 0.7500 0.2500 0.2500
Ni 0.7500 0.7500 0.7500
Mo 0.2500 0.2500 0.2500
Mo 0.2500 0.7500 0.7500
Mo 0.7500 0.2500 0.7500
Mo 0.7500 0.7500 0.2500

As for the total energy: -7.223 eV per atom. As for the total moment: 0.37 μB/f.u. The space group is F-43m. Its calculated volume is 14.41 Å³ per atom.


No. 3
An optimized crystal structure of CdTePtO, computed with PBE.

Cell: 5.7937 7.1811 7.2252 Å, 90.00 90.00 90.00°
Positions (direct):
Cd 0.2397 0.0672 0.0766
Cd 0.2603 0.9328 0.5766
Cd 0.7397 0.4328 0.9234
Cd 0.7603 0.5672 0.4234
Te 0.2468 0.5461 0.1990
Te 0.2532 0.4539 0.6990
Te 0.7468 0.9539 0.8010
Te 0.7532 0.0461 0.3010
Pt 0.0748 0.2596 0.4161
Pt 0.4252 0.7404 0.9161
Pt 0.5748 0.2404 0.5839
Pt 0.9252 0.7596 0.0839
O 0.1108 0.3175 0.9124
O 0.3892 0.6825 0.4124
O 0.6108 0.1825 0.0876
O 0.8892 0.8175 0.5876

As for the total energy: -4.259 eV per atom. As for the total moment: 0.00 μB/f.u. The space group is P2_12_12_1. Its calculated volume is 18.79 Å³ per atom.


No. 4
An optimized crystal structure of BeFeAg2, computed with PBE.

Cell: 6.1200 6.1200 6.1200 Å, 90.00 90.00 90.00°
Positions (direct):
Be 0.0000 0.0000 0.0000
Be 0.0000 0.5000 0.5000
Be 0.5000 0.0000 0.5000
Be 0.5000 0.5000 0.0000
Fe 0.2500 0.2500 0.7500
Fe 0.2500 0.7500 0.2500
Fe 0.7500 0.2500 0.2500
Fe 0.7500 0.7500 0.7500
Ag 0.0000 0.0000 0.5000
Ag 0.0000 0.5000 0.0000
Ag 0.2500 0.2500 0.2500
Ag 0.2500 0.7500 0.7500
Ag 0.5000 0.0000 0.0000
Ag 0.5000 0.5000 0.5000
Ag 0.7500 0.2500 0.7500
Ag 0.7500 0.7500 0.2500

As for the total energy: -3.998 eV per atom. As for the total moment: 2.71 μB/f.u. The space group is F-43m. Its calculated volume is 14.33 Å³ per atom.


Which formula does entry 3 have?
CdTePtO